Run a
Computed, not measured: a relaxed structure of CaLaPrEr at the PBE level of DFT.

Space group: F-43m, No. 216
Density of states at the Fermi level, states/eV per cell: 6.05
Magnetization, Bohr magnetons per cell: 0.00

a b c (Å): 5.885 5.885 5.885
angles (deg): 60.00 60.00 60.00
Sites, in units of the cell vectors:
Ca  0.000  0.000  0.000
La  0.250  0.250  0.250
Pr  0.750  0.750  0.750
Er  0.500  0.500  0.500

Run b
Computed, not measured: a relaxed structure of CaLaPrEr at the PBE level of DFT.

Space group: P4mm, No. 99
Density of states at the Fermi level, states/eV per cell: 6.65
Magnetization, Bohr magnetons per cell: 0.00

a b c (Å): 3.690 3.690 10.619
angles (deg): 90.00 90.00 90.00
Sites, in units of the cell vectors:
Ca  0.000  0.000  0.000
La  0.500  0.500  0.730
Pr  0.500  0.500  0.263
Er  0.000  0.000  0.494

Tell me which of them is the most stable. Sure, it is run b.